# Ba2UHgTe5

A relaxed Ba2UHgTe5 crystal (GGA-PBE, Alexandria via LeMat-Bulk).

a b c (Å): 4.624 10.415 14.246
angles (deg): 90.00 90.00 102.83
Each line ends with the local moment (μB).
Atoms (fractional coordinates):
Hg (0.551, 0.101, 0.943)  -0.01
Hg (0.449, 0.899, 0.443)  -0.01
Te (0.648, 0.295, 0.506)  -0.05
Te (0.292, 0.584, 0.658)  -0.07
Te (0.946, 0.892, 0.561)  -0.05
Te (0.352, 0.705, 0.006)  -0.05
Te (0.708, 0.416, 0.158)  -0.07
Te (0.503, 0.006, 0.265)  -0.01
Te (0.497, 0.994, 0.765)  -0.01
Te (0.697, 0.393, 0.868)  -0.06
Te (0.303, 0.607, 0.368)  -0.06
Te (0.054, 0.108, 0.061)  -0.05
U (0.797, 0.593, 0.515)  2.24
U (0.203, 0.407, 0.015)  2.24
Ba (0.874, 0.748, 0.818)  0.00
Ba (0.126, 0.252, 0.318)  0.00
Ba (0.116, 0.232, 0.690)  0.00
Ba (0.884, 0.768, 0.190)  0.00

DOS at the Fermi energy ... 0.465 states/eV per atom
Uncorrected formation energy ... -1.048 eV/atom
Symmetry ... Cmc2_1, No. 36

=====

# KTa2SiMo

A relaxed KTa2SiMo crystal (GGA-PBE, Alexandria via LeMat-Bulk).

a b c (Å): 4.638 4.436 4.638
angles (deg): 90.00 90.00 90.00
Atoms (fractional coordinates):
Si (0.500, 0.500, 0.500)
Ta (0.500, 0.000, 0.000)
Ta (0.000, 0.000, 0.500)
K (0.000, 0.000, 0.000)
Mo (0.000, 0.500, 0.000)

DOS at the Fermi energy ... 1.222 states/eV per atom
Uncorrected formation energy ... 3.042 eV/atom
Symmetry ... P4/mmm, No. 123